Entry 1:
Crystalline YAgRh2 at its relaxed geometry. Source: Alexandria, functional PBEsol.

Values from the calculation:
- energy of formation (eV/atom) = -0.164
- spin magnetization (μB per atom) = 0.000
- V (A^3/atom) = 16.96

a b c (Å): 3.008 3.916 5.757
angles (deg): 90.00 90.00 90.00
Positions (direct):
1 Ag 0.500 0.500 0.773
2 Y 0.000 0.000 0.483
3 Rh 0.500 0.500 0.231
4 Rh 0.000 0.000 0.013

***

Entry 2:
Crystalline YAgRh2 at its relaxed geometry. Source: Alexandria, functional PBEsol.

Values from the calculation:
- energy of formation (eV/atom) = 0.102
- spin magnetization (μB per atom) = 0.000
- V (A^3/atom) = 17.43

a b c (Å): 3.075 3.075 8.698
angles (deg): 79.82 79.82 60.00
Positions (direct):
1 Ag 0.000 0.000 0.000
2 Y 0.500 0.500 0.500
3 Rh 0.248 0.248 0.255
4 Rh 0.752 0.752 0.745

***

Entry 3:
Crystalline YAgRh4 at its relaxed geometry. Source: Alexandria, functional PBEsol.

Values from the calculation:
- energy of formation (eV/atom) = -0.265
- spin magnetization (μB per atom) = 0.000
- V (A^3/atom) = 16.25

a b c (Å): 5.166 5.166 5.166
angles (deg): 60.00 60.00 60.00
Positions (direct):
1 Y 0.750 0.750 0.750
2 Rh 0.375 0.375 0.876
3 Rh 0.375 0.876 0.375
4 Rh 0.375 0.375 0.375
5 Rh 0.876 0.375 0.375
6 Ag 0.000 0.000 0.000

***

Entry 4:
Crystalline Zn2AgRh at its relaxed geometry. Source: Alexandria, functional PBEsol.

Values from the calculation:
- energy of formation (eV/atom) = -0.264
- spin magnetization (μB per atom) = 0.000
- V (A^3/atom) = 13.92

a b c (Å): 3.463 4.010 4.010
angles (deg): 90.00 90.00 90.00
Positions (direct):
1 Zn 0.000 0.500 0.000
2 Zn 0.000 0.000 0.500
3 Rh 0.500 0.000 0.000
4 Ag 0.500 0.500 0.500

***

Entry 5:
Crystalline ZnAg4Rh at its relaxed geometry. Source: Alexandria, functional PBEsol.

Values from the calculation:
- energy of formation (eV/atom) = 0.398
- spin magnetization (μB per atom) = 0.000
- V (A^3/atom) = 16.73

a b c (Å): 5.216 5.216 5.216
angles (deg): 60.00 60.00 60.00
Positions (direct):
1 Ag 0.625 0.625 0.125
2 Ag 0.125 0.625 0.625
3 Ag 0.625 0.125 0.625
4 Ag 0.625 0.625 0.625
5 Zn 0.000 0.000 0.000
6 Rh 0.250 0.250 0.250

***

Entry 6:
Crystalline Zn2AgRh at its relaxed geometry. Source: Alexandria, functional PBEsol.

Values from the calculation:
- energy of formation (eV/atom) = 0.025
- spin magnetization (μB per atom) = 0.000
- V (A^3/atom) = 14.46

a b c (Å): 2.712 2.712 8.838
angles (deg): 90.00 90.00 117.18
Positions (direct):
1 Rh 0.500 0.500 0.236
2 Zn 0.000 0.000 0.004
3 Zn 0.500 0.500 0.757
4 Ag 0.000 0.000 0.503